# 1
TeAsP2 | the Alexandria database | PBE | optimized geometry; SG = No. 10; N(E_F) = 0.461 states/eV/atom; E_form (uncorrected) = 223 meV/atom; energy above the lowest structure with this stoichiometry = 22 meV/atom; crystal system = monoclinic; uncorrected energy = -4.430 eV per atom
1.0
4.593 0.000 0.000
0.000 3.846 0.000
-1.519 0.000 4.913
Te As P
1 1 2
direct
0.000 0.000 0.000
0.500 0.000 0.500
0.211 0.500 0.676
0.789 0.500 0.324

=====

# 2
TeAsP | the Alexandria database | PBE | optimized geometry; SG = No. 107; N(E_F) = 0.456 states/eV/atom; E_form (uncorrected) = 366 meV/atom; energy above the lowest structure with this stoichiometry = 261 meV/atom; crystal system = tetragonal; uncorrected energy = -4.034 eV per atom
1.0
-1.554 1.554 7.733
1.554 -1.554 7.733
1.554 1.554 -7.733
Te As P
1 1 1
direct
0.000 0.000 0.000
0.715 0.715 0.000
0.293 0.293 0.000

=====

# 3
TeAsP | the Alexandria database | PBE | optimized geometry; SG = No. 10; N(E_F) = 0.352 states/eV/atom; E_form (uncorrected) = 105 meV/atom; energy above the lowest structure with this stoichiometry = 0 meV/atom; crystal system = monoclinic; uncorrected energy = -4.295 eV per atom
1.0
6.361 0.000 0.000
0.000 3.393 0.000
-1.740 0.000 7.389
Te As P
2 2 2
direct
0.214 0.000 0.449
0.786 0.000 0.551
0.350 0.000 0.117
0.650 0.000 0.883
0.143 0.500 0.940
0.857 0.500 0.060

=====

# 4
TeAsP2 | the Alexandria database | PBE | optimized geometry; SG = No. 44; N(E_F) = 0.265 states/eV/atom; E_form (uncorrected) = 259 meV/atom; energy above the lowest structure with this stoichiometry = 58 meV/atom; crystal system = orthorhombic; uncorrected energy = -4.394 eV per atom
1.0
-1.589 1.944 8.169
1.589 -1.944 8.169
1.589 1.944 -8.169
Te As P
1 1 2
direct
0.000 0.000 0.000
0.385 0.885 0.500
0.667 0.667 0.000
0.752 0.252 0.500

=====

# 5
TeAs2P | the Alexandria database | PBE | optimized geometry; SG = No. 47; N(E_F) = 0.621 states/eV/atom; E_form (uncorrected) = 584 meV/atom; energy above the lowest structure with this stoichiometry = 418 meV/atom; crystal system = orthorhombic; uncorrected energy = -3.879 eV per atom
1.0
3.417 0.000 0.000
0.000 4.818 0.000
0.000 0.000 4.921
Te As P
1 2 1
direct
0.000 0.000 0.000
0.000 0.500 0.500
0.500 0.000 0.500
0.500 0.500 0.000

=====

# 6
TeAsP2 | the Alexandria database | PBE | optimized geometry; SG = No. 47; N(E_F) = 0.481 states/eV/atom; E_form (uncorrected) = 713 meV/atom; energy above the lowest structure with this stoichiometry = 512 meV/atom; crystal system = orthorhombic; uncorrected energy = -3.940 eV per atom
1.0
3.439 0.000 0.000
0.000 4.288 0.000
0.000 0.000 5.298
Te As P
1 1 2
direct
0.000 0.000 0.000
0.500 0.000 0.500
0.000 0.500 0.500
0.500 0.500 0.000